VASP calculation (GGA-PBE) on crystalline Ba5Na2Sr2Mg at its relaxed geometry.

It has space group P4/mbm (No. 127), with a = 15.3808 Å, b = 15.3808 Å, c = 4.5183 Å, α = 90.00°, β = 90.00° and γ = 90.00°. The distinct sites, in fractional coordinates, are Ba at (0.0000, 0.5000, 0.0000), Ba at (0.0392, 0.1880, 0.0000), Na at (0.1411, 0.3589, 0.5000), Sr at (0.1821, 0.6821, 0.5000) and Mg at (0.0000, 0.0000, 0.5000).

The energy of formation comes out at 0.3 eV per formula unit. Its density of states at the Fermi level is 1.478 states/eV/atom.